{"formula": "MnPHS2", "functional": "PBE", "state": "optimized geometry", "lattice": [[4.5068, 0.0000, 0.0000], [0.0000, 4.5068, 0.0000], [0.0000, 0.0000, 4.4596]], "species": ["Mn", "H", "S", "S", "P"], "fractional_positions": [[0.0000, 0.0000, 0.0000], [0.5000, 0.5000, 0.5000], [0.0000, 0.5000, 0.0000], [0.5000, 0.0000, 0.0000], [0.0000, 0.0000, 0.5000]], "total_magnetization_mub_per_cell": 2.68, "relative_energy_mev_per_atom": 243.5}